This record from OQMD via LeMat-Bulk describes CoPtSeO after structural relaxation. The functional is PBE with a Hubbard U.

a b c (Å): 5.547 7.677 5.475
angles (deg): 90.00 90.00 90.00
Fractional positions:
Co (0.250, 0.081, 0.374)
Co (0.750, 0.919, 0.374)
Co (0.250, 0.081, 0.874)
Co (0.750, 0.919, 0.874)
O (0.971, 0.051, 0.124)
O (0.471, 0.949, 0.124)
O (0.529, 0.051, 0.624)
O (0.029, 0.949, 0.624)
Pt (0.978, 0.330, 0.126)
Pt (0.478, 0.670, 0.126)
Pt (0.522, 0.330, 0.626)
Pt (0.022, 0.670, 0.626)
Se (0.508, 0.353, 0.127)
Se (0.008, 0.647, 0.127)
Se (0.992, 0.353, 0.627)
Se (0.492, 0.647, 0.627)

Computed properties:
Polymorph energy (0 for the lowest one), meV/atom: 0
Total DFT energy (no corrections), eV per atom: -5.272
Magnetization, μB per formula unit: 2.86